[1]
! TbGa4Ni (GGA-PBE, optimized geometry); values from VASP
! - Calculated total energy: -3.905 eV/atom
! - Density of states at the Fermi level: 8.1 states/eV/cell
! - Space group: No. 137
&SYSTEM
  ibrav = 0, nat = 12, ntyp = 3
/
ATOMIC_SPECIES
Tb 158.93 Tb.upf
Ga 69.72 Ga.upf
Ni 58.69 Ni.upf
ATOMIC_POSITIONS crystal
Tb 0.2500 0.7500 0.2500
Tb 0.7500 0.2500 0.7500
Ga 0.0782 0.2500 0.2221
Ga 0.2500 0.0782 0.7221
Ga 0.2500 0.4218 0.7221
Ga 0.4218 0.2500 0.2221
Ga 0.5782 0.7500 0.7779
Ga 0.7500 0.5782 0.2779
Ga 0.7500 0.9218 0.2779
Ga 0.9218 0.7500 0.7779
Ni 0.2500 0.7500 0.7500
Ni 0.7500 0.2500 0.2500
CELL_PARAMETERS angstrom
6.9712 0.0000 0.0000
0.0000 6.9712 0.0000
0.0000 0.0000 5.1915

[2]
! HfZrTcNi (GGA-PBE, optimized geometry); values from VASP
! - Calculated total energy: -9.100 eV/atom
! - Density of states at the Fermi level: 3.3 states/eV/cell
! - Space group: No. 47
&SYSTEM
  ibrav = 0, nat = 4, ntyp = 4
/
ATOMIC_SPECIES
Hf 178.49 Hf.upf
Zr 91.22 Zr.upf
Tc 98.00 Tc.upf
Ni 58.69 Ni.upf
ATOMIC_POSITIONS crystal
Hf 0.0000 0.0000 0.0000
Zr 0.0000 0.5000 0.5000
Tc 0.5000 0.0000 0.5000
Ni 0.5000 0.5000 0.0000
CELL_PARAMETERS angstrom
3.3031 0.0000 0.0000
0.0000 4.5404 0.0000
0.0000 0.0000 4.5518

[3]
! BaTiN2 (GGA-PBE, optimized geometry); values from VASP
! - Density of states at the Fermi level: 4.7 states/eV/cell
! - Space group: No. 225
! - E_form (uncorrected): 2.139 eV per formula unit
&SYSTEM
  ibrav = 0, nat = 4, ntyp = 3
/
ATOMIC_SPECIES
Ba 137.33 Ba.upf
Ti 47.87 Ti.upf
N 14.01 N.upf
ATOMIC_POSITIONS crystal
Ba 0.0000 0.0000 0.0000
Ti 0.5000 0.5000 0.5000
N 0.2500 0.2500 0.2500
N 0.7500 0.7500 0.7500
CELL_PARAMETERS angstrom
0.0000 3.0666 3.0666
3.0666 0.0000 3.0666
3.0666 3.0666 0.0000

[4]
! Ba2IrI (GGA-PBE, optimized geometry); values from VASP
! - Density of states at the Fermi level: 0.0 states/eV/cell
! - Space group: No. 225
! - Distance to the lowest polymorph of the same formula: 255 meV per atom
! - E_form (uncorrected): -1.855 eV per formula unit
&SYSTEM
  ibrav = 0, nat = 4, ntyp = 3
/
ATOMIC_SPECIES
Ba 137.33 Ba.upf
Ir 192.22 Ir.upf
I 126.90 I.upf
ATOMIC_POSITIONS crystal
Ba 0.2500 0.2500 0.2500
Ba 0.7500 0.7500 0.7500
Ir 0.0000 0.0000 0.0000
I 0.5000 0.5000 0.5000
CELL_PARAMETERS angstrom
0.0000 4.0485 4.0485
4.0485 0.0000 4.0485
4.0485 4.0485 0.0000

[5]
! TaAlGaH2 (GGA-PBE, optimized geometry); values from VASP
! - Calculated total energy: -4.296 eV/atom
! - Density of states at the Fermi level: 2.6 states/eV/cell
! - Space group: No. 123
&SYSTEM
  ibrav = 0, nat = 5, ntyp = 4
/
ATOMIC_SPECIES
Ta 180.95 Ta.upf
Al 26.98 Al.upf
Ga 69.72 Ga.upf
H 1.01 H.upf
ATOMIC_POSITIONS crystal
Ta 0.0000 0.0000 0.0000
Al 0.5000 0.5000 0.0000
Ga 0.0000 0.0000 0.5000
H 0.0000 0.5000 0.5000
H 0.5000 0.0000 0.5000
CELL_PARAMETERS angstrom
3.7177 0.0000 0.0000
0.0000 3.7177 0.0000
0.0000 0.0000 5.4346

[6]
! LaOsS2N (GGA-PBE, optimized geometry); values from VASP
! - Density of states at the Fermi level: 3.1 states/eV/cell
! - Space group: No. 123
! - Distance to the lowest polymorph of the same formula: 0 meV per atom
! - E_form (uncorrected): -3.656 eV per formula unit
&SYSTEM
  ibrav = 0, nat = 5, ntyp = 4
/
ATOMIC_SPECIES
La 138.91 La.upf
Os 190.23 Os.upf
S 32.06 S.upf
N 14.01 N.upf
ATOMIC_POSITIONS crystal
La 0.0000 0.0000 0.0000
Os 0.5000 0.5000 0.5000
S 0.0000 0.5000 0.5000
S 0.5000 0.0000 0.5000
N 0.5000 0.5000 0.0000
CELL_PARAMETERS angstrom
4.9063 0.0000 0.0000
0.0000 4.9063 0.0000
0.0000 0.0000 3.7654

[7]
! EuYPt4 (GGA-PBE, optimized geometry); values from VASP
! - Calculated total energy: -7.846 eV/atom
! - Density of states at the Fermi level: 12.9 states/eV/cell
! - Space group: No. 216
&SYSTEM
  ibrav = 0, nat = 6, ntyp = 3
/
ATOMIC_SPECIES
Eu 151.96 Eu.upf
Y 88.91 Y.upf
Pt 195.08 Pt.upf
ATOMIC_POSITIONS crystal
Eu 0.0000 0.0000 0.0000
Y 0.7500 0.7500 0.7500
Pt 0.3750 0.3750 0.3750
Pt 0.3750 0.3750 0.8750
Pt 0.3750 0.8750 0.3750
Pt 0.8750 0.3750 0.3750
CELL_PARAMETERS angstrom
0.0000 3.8724 3.8724
3.8724 0.0000 3.8724
3.8724 3.8724 0.0000

[8]
! Pm5Si5Ni2 (GGA-PBE, optimized geometry); values from VASP
! - Density of states at the Fermi level: 6.7 states/eV/cell
! - Space group: No. 12
! - E_form (uncorrected): -7.227 eV per formula unit
&SYSTEM
  ibrav = 0, nat = 12, ntyp = 3
/
ATOMIC_SPECIES
Pm 145.00 Pm.upf
Si 28.09 Si.upf
Ni 58.69 Ni.upf
ATOMIC_POSITIONS crystal
Pm 0.0000 0.0000 0.0000
Pm 0.3400 0.3400 0.5807
Pm 0.3434 0.3434 0.2197
Pm 0.6566 0.6566 0.7803
Pm 0.6600 0.6600 0.4193
Si 0.0000 0.0000 0.5000
Si 0.0648 0.0648 0.2546
Si 0.2806 0.2806 0.9576
Si 0.7194 0.7194 0.0424
Si 0.9352 0.9352 0.7454
Ni 0.3895 0.3895 0.8135
Ni 0.6105 0.6105 0.1865
CELL_PARAMETERS angstrom
5.2929 -2.0932 0.0000
5.2929 2.0932 0.0000
-2.0893 0.0000 11.9759

[9]
! YNb3Hg (GGA-PBE, optimized geometry); values from VASP
! - Density of states at the Fermi level: 8.9 states/eV/cell
! - Space group: No. 221
! - Distance to the lowest polymorph of the same formula: 0 meV per atom
&SYSTEM
  ibrav = 0, nat = 5, ntyp = 3
/
ATOMIC_SPECIES
Y 88.91 Y.upf
Nb 92.91 Nb.upf
Hg 200.59 Hg.upf
ATOMIC_POSITIONS crystal
Y 0.0000 0.0000 0.0000
Nb 0.0000 0.5000 0.5000
Nb 0.5000 0.0000 0.5000
Nb 0.5000 0.5000 0.0000
Hg 0.5000 0.5000 0.5000
CELL_PARAMETERS angstrom
5.1207 0.0000 0.0000
0.0000 5.1207 0.0000
0.0000 0.0000 5.1207

[10]
! ZnFe2Ag (GGA-PBE, optimized geometry); values from VASP
! - Calculated total energy: -5.019 eV/atom
! - Density of states at the Fermi level: 3.4 states/eV/cell
! - Space group: No. 12
&SYSTEM
  ibrav = 0, nat = 4, ntyp = 3
/
ATOMIC_SPECIES
Zn 65.41 Zn.upf
Fe 55.84 Fe.upf
Ag 107.87 Ag.upf
ATOMIC_POSITIONS crystal
Zn 0.0000 0.0000 0.0000
Fe 0.2536 0.2536 0.7614
Fe 0.7464 0.7464 0.2386
Ag 0.5000 0.5000 0.5000
CELL_PARAMETERS angstrom
4.6415 -1.3679 0.0000
4.6415 1.3679 0.0000
-0.9350 0.0000 4.3912

[11]
! RbPtRhO6 (GGA-PBE, optimized geometry); values from VASP
! - Density of states at the Fermi level: 5.9 states/eV/cell
! - Space group: No. 149
! - E_form (uncorrected): -5.926 eV per formula unit
&SYSTEM
  ibrav = 0, nat = 9, ntyp = 4
/
ATOMIC_SPECIES
Rb 85.47 Rb.upf
Pt 195.08 Pt.upf
Rh 102.91 Rh.upf
O 16.00 O.upf
ATOMIC_POSITIONS crystal
Rb 0.0000 0.0000 0.0000
Pt 0.3333 0.6667 0.5000
Rh 0.6667 0.3333 0.5000
O 0.3976 0.0021 0.6759
O 0.3976 0.3956 0.3241
O 0.6044 0.0021 0.3241
O 0.6044 0.6024 0.6759
O 0.9979 0.3956 0.6759
O 0.9979 0.6024 0.3241
CELL_PARAMETERS angstrom
5.3284 0.0000 0.0000
-2.6642 4.6145 0.0000
0.0000 0.0000 6.2369

[12]
! IrRuPt2 (GGA-PBE, optimized geometry); values from VASP
! - Density of states at the Fermi level: 5.6 states/eV/cell
! - Space group: No. 10
! - Distance to the lowest polymorph of the same formula: 110 meV per atom
&SYSTEM
  ibrav = 0, nat = 4, ntyp = 3
/
ATOMIC_SPECIES
Ir 192.22 Ir.upf
Ru 101.07 Ru.upf
Pt 195.08 Pt.upf
ATOMIC_POSITIONS crystal
Ir 0.0000 0.0000 0.0000
Ru 0.0000 0.5000 0.5000
Pt 0.5000 0.0000 0.5000
Pt 0.5000 0.5000 0.0000
CELL_PARAMETERS angstrom
4.7653 0.0000 0.0000
0.0000 2.7694 0.0000
-1.6218 0.0000 4.5194

[13]
! Cs3Ge2Br8 (GGA-PBE, optimized geometry); values from VASP
! - Density of states at the Fermi level: 8.6 states/eV/cell
! - Space group: No. 166
! - E_form (uncorrected): -14.347 eV per formula unit
&SYSTEM
  ibrav = 0, nat = 13, ntyp = 3
/
ATOMIC_SPECIES
Cs 132.91 Cs.upf
Ge 72.64 Ge.upf
Br 79.90 Br.upf
ATOMIC_POSITIONS crystal
Cs 0.0000 0.0000 0.0000
Cs 0.2085 0.2085 0.2085
Cs 0.7915 0.7915 0.7915
Ge 0.4118 0.4118 0.4118
Ge 0.5882 0.5882 0.5882
Br 0.2061 0.7421 0.7421
Br 0.2579 0.2579 0.7939
Br 0.2579 0.7939 0.2579
Br 0.3282 0.3282 0.3282
Br 0.6718 0.6718 0.6718
Br 0.7421 0.2061 0.7421
Br 0.7421 0.7421 0.2061
Br 0.7939 0.2579 0.2579
CELL_PARAMETERS angstrom
4.0283 2.3257 10.1292
-4.0283 2.3257 10.1292
0.0000 -4.6514 10.1292

[14]
! Pm3Ga2Ni6 (GGA-PBE, optimized geometry); values from VASP
! - Calculated total energy: -5.477 eV/atom
! - Density of states at the Fermi level: 14.0 states/eV/cell
! - Space group: No. 229
&SYSTEM
  ibrav = 0, nat = 22, ntyp = 3
/
ATOMIC_SPECIES
Pm 145.00 Pm.upf
Ga 69.72 Ga.upf
Ni 58.69 Ni.upf
ATOMIC_POSITIONS crystal
Pm 0.0000 0.2903 0.2903
Pm 0.0000 0.7097 0.7097
Pm 0.2903 0.0000 0.2903
Pm 0.2903 0.2903 0.0000
Pm 0.7097 0.0000 0.7097
Pm 0.7097 0.7097 0.0000
Ga 0.0000 0.0000 0.5000
Ga 0.0000 0.5000 0.0000
Ga 0.5000 0.0000 0.0000
Ga 0.5000 0.5000 0.5000
Ni 0.0000 0.3358 0.6642
Ni 0.0000 0.6642 0.3358
Ni 0.3283 0.6642 0.6642
Ni 0.3358 0.0000 0.6642
Ni 0.3358 0.3358 0.6716
Ni 0.3358 0.6642 0.0000
Ni 0.3358 0.6716 0.3358
Ni 0.6642 0.0000 0.3358
Ni 0.6642 0.3283 0.6642
Ni 0.6642 0.3358 0.0000
Ni 0.6642 0.6642 0.3283
Ni 0.6716 0.3358 0.3358
CELL_PARAMETERS angstrom
-4.5146 4.5146 4.5146
4.5146 -4.5146 4.5146
4.5146 4.5146 -4.5146

[15]
! Ac3NdTl2 (GGA-PBE, optimized geometry); values from VASP
! - Density of states at the Fermi level: 16.3 states/eV/cell
! - Space group: No. 72
! - Distance to the lowest polymorph of the same formula: 203 meV per atom
&SYSTEM
  ibrav = 0, nat = 12, ntyp = 3
/
ATOMIC_SPECIES
Ac 227.00 Ac.upf
Nd 144.24 Nd.upf
Tl 204.38 Tl.upf
ATOMIC_POSITIONS crystal
Ac 0.0288 0.7500 0.2788
Ac 0.2500 0.2500 0.0000
Ac 0.4712 0.7500 0.7212
Ac 0.5288 0.2500 0.2788
Ac 0.7500 0.7500 0.0000
Ac 0.9712 0.2500 0.7212
Nd 0.0000 0.5000 0.5000
Nd 0.5000 0.0000 0.5000
Tl 0.1350 0.2050 0.3399
Tl 0.3650 0.7050 0.0700
Tl 0.6350 0.2950 0.9300
Tl 0.8650 0.7950 0.6601
CELL_PARAMETERS angstrom
-3.9557 7.9674 4.0889
3.9557 -7.9674 4.0889
3.9557 7.9674 -4.0889

[16]
! ZrAlPt2Au (GGA-PBE, optimized geometry); values from VASP
! - Calculated total energy: -4.997 eV/atom
! - Density of states at the Fermi level: 4.0 states/eV/cell
! - Space group: No. 123
&SYSTEM
  ibrav = 0, nat = 5, ntyp = 4
/
ATOMIC_SPECIES
Zr 91.22 Zr.upf
Al 26.98 Al.upf
Pt 195.08 Pt.upf
Au 196.97 Au.upf
ATOMIC_POSITIONS crystal
Zr 0.0000 0.0000 0.0000
Al 0.5000 0.5000 0.0000
Pt 0.0000 0.5000 0.5000
Pt 0.5000 0.0000 0.5000
Au 0.5000 0.5000 0.5000
CELL_PARAMETERS angstrom
5.0206 0.0000 0.0000
0.0000 5.0206 0.0000
0.0000 0.0000 4.4310

[17]
! Hg2ClF3 (GGA-PBE, optimized geometry); values from VASP
! - Density of states at the Fermi level: 2.2 states/eV/cell
! - Space group: No. 72
! - Distance to the lowest polymorph of the same formula: 79 meV per atom
! - E_form (uncorrected): -6.770 eV per formula unit
&SYSTEM
  ibrav = 0, nat = 12, ntyp = 3
/
ATOMIC_SPECIES
Hg 200.59 Hg.upf
Cl 35.45 Cl.upf
F 19.00 F.upf
ATOMIC_POSITIONS crystal
Hg 0.1369 0.1867 0.3236
Hg 0.3631 0.6867 0.0498
Hg 0.6369 0.3133 0.9502
Hg 0.8631 0.8133 0.6764
Cl 0.0000 0.5000 0.5000
Cl 0.5000 0.0000 0.5000
F 0.0024 0.2500 0.7524
F 0.2500 0.2500 0.0000
F 0.4976 0.2500 0.2476
F 0.5024 0.7500 0.7524
F 0.7500 0.7500 0.0000
F 0.9976 0.7500 0.2476
CELL_PARAMETERS angstrom
-3.0028 5.8730 3.1032
3.0028 -5.8730 3.1032
3.0028 5.8730 -3.1032

[18]
! CrFeSiW (GGA-PBE, optimized geometry); values from VASP
! - Density of states at the Fermi level: 2.4 states/eV/cell
! - Space group: No. 216
! - E_form (uncorrected): -0.573 eV per formula unit
&SYSTEM
  ibrav = 0, nat = 4, ntyp = 4
/
ATOMIC_SPECIES
Cr 52.00 Cr.upf
Fe 55.84 Fe.upf
Si 28.09 Si.upf
W 183.84 W.upf
ATOMIC_POSITIONS crystal
Cr 0.0000 0.0000 0.0000
Fe 0.5000 0.5000 0.5000
Si 0.7500 0.7500 0.7500
W 0.2500 0.2500 0.2500
CELL_PARAMETERS angstrom
0.0000 2.9130 2.9130
2.9130 0.0000 2.9130
2.9130 2.9130 0.0000

[19]
! Mn2CrTc (GGA-PBE, optimized geometry); values from VASP
! - Density of states at the Fermi level: 4.5 states/eV/cell
! - Space group: No. 12
! - Distance to the lowest polymorph of the same formula: 30 meV per atom
&SYSTEM
  ibrav = 0, nat = 4, ntyp = 3
/
ATOMIC_SPECIES
Mn 54.94 Mn.upf
Cr 52.00 Cr.upf
Tc 98.00 Tc.upf
ATOMIC_POSITIONS crystal
Mn 0.0000 0.5000 0.0000
Mn 0.5000 0.0000 0.0000
Cr 0.0000 0.0000 0.5000
Tc 0.5000 0.5000 0.5000
CELL_PARAMETERS angstrom
2.5361 -4.0338 0.0000
2.5361 4.0338 0.0000
-0.7559 0.0000 2.4437

[20]
! LiSc2Pd (GGA-PBE, optimized geometry); values from VASP
! - Calculated total energy: -5.384 eV/atom
! - Density of states at the Fermi level: 4.4 states/eV/cell
! - Space group: No. 225
&SYSTEM
  ibrav = 0, nat = 4, ntyp = 3
/
ATOMIC_SPECIES
Li 6.94 Li.upf
Sc 44.96 Sc.upf
Pd 106.42 Pd.upf
ATOMIC_POSITIONS crystal
Li 0.0000 0.0000 0.0000
Sc 0.2500 0.2500 0.2500
Sc 0.7500 0.7500 0.7500
Pd 0.5000 0.5000 0.5000
CELL_PARAMETERS angstrom
0.0000 3.3344 3.3344
3.3344 0.0000 3.3344
3.3344 3.3344 0.0000